(1)
{
  "formula": "Na2AlTe",
  "functional": "PBE",
  "state": "optimized geometry",
  "m_tot_mub_per_cell": 0.000,
  "raw_formation_energy_ev_per_atom": -0.0776,
  "e_above_lowest_polymorph_ev_per_fu": 0.35,
  "crystal_system": "tetragonal",
  "dft_energy_ev_per_atom": -2.46,
  "lattice": [[4.761, 0.000, 0.000], [0.000, 4.761, 0.000], [2.380, 2.380, 10.448]],
  "species": ["Na", "Na", "Na", "Na", "Te", "Te", "Al", "Al"],
  "fractional_positions": [[0.626, 0.125, 0.250], [0.124, 0.625, 0.250], [0.375, 0.374, 0.750], [0.875, 0.876, 0.750], [0.000, 0.000, 0.000], [0.750, 0.250, 0.500], [0.500, 0.500, 0.000], [0.250, 0.750, 0.500]]
}

(2)
{
  "formula": "Na4Hf3Se8",
  "functional": "PBE",
  "state": "optimized geometry",
  "m_tot_mub_per_cell": 0.000,
  "raw_formation_energy_ev_per_atom": -1.2611,
  "crystal_system": "trigonal",
  "dft_energy_ev_per_atom": -5.46,
  "lattice": [[-4.069, 4.939, -4.591], [-7.541, 1.582, 1.630], [-1.727, 7.946, 3.324]],
  "species": ["Na", "Na", "Na", "Na", "Hf", "Hf", "Hf", "Se", "Se", "Se", "Se", "Se", "Se", "Se", "Se"],
  "fractional_positions": [[0.000, 0.000, 0.000], [0.360, 0.360, 0.921], [0.500, 0.500, 0.500], [0.640, 0.640, 0.079], [0.500, 0.000, 0.500], [0.000, 0.000, 0.500], [0.000, 0.500, 0.500], [0.234, 0.234, 0.299], [0.213, 0.746, 0.295], [0.746, 0.746, 0.295], [0.746, 0.213, 0.295], [0.766, 0.766, 0.701], [0.787, 0.254, 0.705], [0.254, 0.254, 0.705], [0.254, 0.787, 0.705]]
}

(3)
{
  "formula": "Sr2Ag3Ge",
  "functional": "PBE",
  "state": "optimized geometry",
  "m_tot_mub_per_cell": 0.000,
  "e_above_lowest_polymorph_ev_per_fu": 0.03,
  "ef_ev_per_fu": -1.988,
  "crystal_system": "orthorhombic",
  "dft_energy_ev_per_atom": -3.09,
  "lattice": [[3.960, 0.000, 0.000], [0.000, 4.770, 0.000], [0.000, 0.000, 8.315]],
  "species": ["Sr", "Sr", "Ag", "Ag", "Ag", "Ge"],
  "fractional_positions": [[0.000, 0.500, 0.999], [0.000, 0.000, 0.501], [0.500, 0.000, 0.838], [0.500, 0.000, 0.182], [0.500, 0.500, 0.654], [0.500, 0.500, 0.327]]
}

(4)
{
  "formula": "BaTa2Re",
  "functional": "PBE",
  "state": "optimized geometry",
  "m_tot_mub_per_cell": 0.000,
  "e_above_lowest_polymorph_ev_per_fu": 3.06,
  "ef_ev_per_fu": 5.070,
  "crystal_system": "monoclinic",
  "dft_energy_ev_per_atom": -8.25,
  "lattice": [[-0.163, 1.026, 2.636], [-5.794, 0.821, -0.679], [-3.486, -4.259, 1.442]],
  "species": ["Re", "Ba", "Ta", "Ta"],
  "fractional_positions": [[0.000, 0.000, 0.500], [0.500, 0.500, 0.500], [0.000, 0.000, 0.000], [0.500, 0.500, 0.000]]
}

(5)
{
  "formula": "Sb2CSeN",
  "functional": "PBE",
  "state": "optimized geometry",
  "m_tot_mub_per_cell": 0.000,
  "raw_formation_energy_ev_per_atom": 1.7378,
  "crystal_system": "tetragonal",
  "dft_energy_ev_per_atom": -4.12,
  "lattice": [[-2.515, 3.207, -2.417], [-3.477, -1.350, 1.825], [0.624, 3.129, 3.503]],
  "species": ["Sb", "Sb", "C", "Se", "N"],
  "fractional_positions": [[0.000, 0.000, 0.500], [0.500, 0.000, 0.000], [0.500, 0.500, 0.500], [0.000, 0.500, 0.000], [0.000, 0.000, 0.000]]
}

(6)
{
  "formula": "Rb8Pb2Au",
  "functional": "PBE",
  "state": "optimized geometry",
  "m_tot_mub_per_cell": 1.164,
  "ef_ev_per_fu": -0.925,
  "crystal_system": "monoclinic",
  "dft_energy_ev_per_atom": -1.76,
  "lattice": [[6.196, 0.000, -1.626], [-0.634, 8.329, -2.417], [-0.149, -1.351, 12.050]],
  "species": ["Rb", "Rb", "Rb", "Rb", "Rb", "Rb", "Rb", "Rb", "Pb", "Pb", "Au"],
  "fractional_positions": [[0.594, 0.759, 0.189], [0.337, 0.635, 0.674], [0.217, 0.130, 0.434], [0.019, 0.256, 0.038], [0.783, 0.870, 0.566], [0.663, 0.365, 0.326], [0.406, 0.241, 0.811], [0.981, 0.744, 0.962], [0.166, 0.651, 0.333], [0.834, 0.349, 0.667], [0.500, 0.000, 0.000]]
}

(7)
{
  "formula": "NaTiCd3",
  "functional": "PBE",
  "state": "optimized geometry",
  "m_tot_mub_per_cell": 2.732,
  "e_above_lowest_polymorph_ev_per_fu": 0.00,
  "ef_ev_per_fu": 2.459,
  "crystal_system": "cubic",
  "dft_energy_ev_per_atom": -1.90,
  "lattice": [[5.462, 0.000, 0.000], [0.000, 5.462, 0.000], [0.000, 0.000, 5.462]],
  "species": ["Na", "Ti", "Cd", "Cd", "Cd"],
  "fractional_positions": [[0.500, 0.500, 0.500], [0.000, 0.000, 0.000], [0.000, 0.500, 0.000], [0.000, 0.000, 0.500], [0.500, 0.000, 0.000]]
}

(8)
{
  "formula": "CeNpTe2",
  "functional": "PBE",
  "state": "optimized geometry",
  "m_tot_mub_per_cell": 6.904,
  "raw_formation_energy_ev_per_atom": -0.8777,
  "e_above_lowest_polymorph_ev_per_fu": 0.03,
  "crystal_system": "cubic",
  "dft_energy_ev_per_atom": -7.17,
  "lattice": [[5.411, 0.000, 0.000], [2.706, 4.686, 0.000], [2.706, 1.562, 4.418]],
  "species": ["Np", "Te", "Te", "Ce"],
  "fractional_positions": [[0.500, 0.500, 0.500], [0.250, 0.250, 0.250], [0.750, 0.750, 0.750], [0.000, 0.000, 0.000]]
}

(9)
{
  "formula": "FeAgAs2",
  "functional": "PBE",
  "state": "optimized geometry",
  "m_tot_mub_per_cell": 2.558,
  "e_above_lowest_polymorph_ev_per_fu": 1.29,
  "ef_ev_per_fu": 1.487,
  "crystal_system": "tetragonal",
  "dft_energy_ev_per_atom": -4.78,
  "lattice": [[5.317, 0.038, 0.000], [2.498, 4.694, 0.000], [-3.907, -2.366, 2.722]],
  "species": ["Ag", "As", "As", "Fe"],
  "fractional_positions": [[0.750, 0.250, 0.500], [0.000, 0.000, 0.000], [0.250, 0.750, 0.500], [0.500, 0.500, 0.000]]
}

(10)
{
  "formula": "K2NaInSb2",
  "functional": "PBE",
  "state": "optimized geometry",
  "m_tot_mub_per_cell": 0.000,
  "raw_formation_energy_ev_per_atom": -0.4733,
  "crystal_system": "orthorhombic",
  "dft_energy_ev_per_atom": -2.89,
  "lattice": [[-1.446, -4.943, 9.649], [-6.055, -6.624, -6.252], [5.676, -4.038, -1.218]],
  "species": ["K", "K", "K", "K", "K", "K", "K", "K", "Na", "Na", "Na", "Na", "In", "In", "In", "In", "Sb", "Sb", "Sb", "Sb", "Sb", "Sb", "Sb", "Sb"],
  "fractional_positions": [[0.077, 0.423, 0.250], [0.423, 0.077, 0.750], [0.923, 0.577, 0.750], [0.577, 0.923, 0.250], [0.673, 0.327, 0.221], [0.827, 0.173, 0.721], [0.327, 0.673, 0.779], [0.173, 0.827, 0.279], [0.382, 0.382, 0.000], [0.118, 0.118, 0.500], [0.618, 0.618, 0.000], [0.882, 0.882, 0.500], [0.132, 0.132, 0.000], [0.368, 0.368, 0.500], [0.868, 0.868, 0.000], [0.632, 0.632, 0.500], [0.856, 0.644, 0.250], [0.644, 0.856, 0.750], [0.144, 0.356, 0.750], [0.356, 0.144, 0.250], [0.894, 0.106, 0.205], [0.606, 0.394, 0.705], [0.106, 0.894, 0.795], [0.394, 0.606, 0.295]]
}

(11)
{
  "formula": "Co2Ir6Rh",
  "functional": "PBE",
  "state": "optimized geometry",
  "m_tot_mub_per_cell": 4.197,
  "e_above_lowest_polymorph_ev_per_fu": 0.00,
  "ef_ev_per_fu": 1.543,
  "crystal_system": "orthorhombic",
  "dft_energy_ev_per_atom": -8.13,
  "lattice": [[-0.021, 1.502, 2.264], [3.970, -4.545, 4.681], [7.504, 0.687, 1.244]],
  "species": ["Co", "Co", "Ir", "Ir", "Ir", "Ir", "Ir", "Ir", "Rh"],
  "fractional_positions": [[0.358, 0.142, 0.142], [0.642, 0.858, 0.858], [0.177, 0.502, 0.145], [0.823, 0.498, 0.855], [0.823, 0.855, 0.498], [0.000, 0.176, 0.824], [0.000, 0.824, 0.176], [0.177, 0.145, 0.502], [0.500, 0.500, 0.500]]
}

(12)
{
  "formula": "LaMoSe2",
  "functional": "PBE",
  "state": "optimized geometry",
  "m_tot_mub_per_cell": 0.000,
  "raw_formation_energy_ev_per_atom": -0.5299,
  "e_above_lowest_polymorph_ev_per_fu": 1.39,
  "crystal_system": "tetragonal",
  "dft_energy_ev_per_atom": -6.21,
  "lattice": [[5.564, 0.000, 0.000], [0.000, 5.564, 0.000], [2.782, 2.782, 7.246]],
  "species": ["Mo", "Mo", "Se", "Se", "Se", "Se", "La", "La"],
  "fractional_positions": [[0.500, 0.500, 0.000], [0.250, 0.750, 0.500], [0.542, 0.125, 0.250], [0.208, 0.625, 0.250], [0.375, 0.458, 0.750], [0.875, 0.792, 0.750], [0.000, 0.000, 0.000], [0.750, 0.250, 0.500]]
}